A | DFT (PBE) results for a relaxed structure of CuRe2. Values from VASP.

The volume is 14.25 Å³ per atom.

```
&SYSTEM
  ibrav = 0, nat = 6, ntyp = 2
/
ATOMIC_SPECIES
Cu 63.55 Cu.upf
Re 186.21 Re.upf
CELL_PARAMETERS angstrom
1.972 -5.520 0.000
1.972 5.520 0.000
0.000 0.000 3.927
ATOMIC_POSITIONS crystal
Cu 0.079 0.921 0.750
Re 0.409 0.591 0.750
Re 0.247 0.753 0.250
Re 0.753 0.247 0.750
Re 0.591 0.409 0.250
Cu 0.921 0.079 0.250
```

=====

B | DFT (PBE) results for a relaxed structure of CuRe2. Values from VASP.

The volume is 15.95 Å³ per atom.

```
&SYSTEM
  ibrav = 0, nat = 12, ntyp = 2
/
ATOMIC_SPECIES
Cu 63.55 Cu.upf
Re 186.21 Re.upf
CELL_PARAMETERS angstrom
-1.266 2.050 -0.779
0.241 -1.369 -3.995
-15.449 -8.757 2.071
ATOMIC_POSITIONS crystal
Cu 0.500 0.250 0.877
Re 0.000 0.750 0.817
Cu 0.000 0.750 0.377
Cu 0.500 0.750 0.123
Re 0.500 0.250 0.461
Re 0.500 0.250 0.317
Re 0.000 0.250 0.183
Re 0.500 0.750 0.683
Re 0.000 0.250 0.039
Re 0.500 0.750 0.539
Cu 0.000 0.250 0.623
Re 0.000 0.750 0.961
```

=====

Which of them is the least stable? Correct choice: B.

=====

A | DFT (PBE) results for a relaxed structure of CuRe2. Values from VASP.

The volume is 13.99 Å³ per atom.

```
&SYSTEM
  ibrav = 0, nat = 6, ntyp = 2
/
ATOMIC_SPECIES
Re 186.21 Re.upf
Cu 63.55 Cu.upf
CELL_PARAMETERS angstrom
-1.866 -1.609 4.166
-2.775 1.443 -3.694
2.306 -3.870 -1.769
ATOMIC_POSITIONS crystal
Re 0.146 0.354 0.500
Re 0.854 0.646 0.500
Re 0.354 0.854 0.208
Cu 0.750 0.750 0.000
Re 0.646 0.146 0.792
Cu 0.250 0.250 0.000
```

=====

B | DFT (PBE) results for a relaxed structure of CuRe2. Values from VASP.

The volume is 14.27 Å³ per atom.

```
&SYSTEM
  ibrav = 0, nat = 6, ntyp = 2
/
ATOMIC_SPECIES
Cu 63.55 Cu.upf
Re 186.21 Re.upf
CELL_PARAMETERS angstrom
1.405 4.915 0.000
-1.405 4.915 0.000
0.000 1.670 6.200
ATOMIC_POSITIONS crystal
Cu 0.357 0.357 0.032
Cu 0.643 0.643 0.968
Re 0.980 0.980 0.301
Re 0.305 0.305 0.632
Re 0.695 0.695 0.368
Re 0.020 0.020 0.699
```

=====

Which of them is the least stable? Correct choice: A.